DFT (PBE-GGA) results for Li3CdPb after structural relaxation.

Cell and atoms, written as CIF:
```
data_Li3CdPb
_chemical_formula_sum 'Li12 Cd4 Pb4'
_cell_length_a 14.154
_cell_length_b 4.858
_cell_length_c 5.904
_cell_angle_alpha 90.00
_cell_angle_beta 100.68
_cell_angle_gamma 90.00
_symmetry_space_group_name_H-M 'C 1 2/m 1'
_symmetry_Int_Tables_number 12
loop_
_symmetry_equiv_pos_as_xyz
'x,y,z'
'-x,-y,-z'
'-x,y,-z'
'x,-y,z'
'x+1/2,y+1/2,z'
'-x+1/2,-y+1/2,-z'
'-x+1/2,y+1/2,-z'
'x+1/2,-y+1/2,z'
loop_
_atom_site_label
_atom_site_type_symbol
_atom_site_fract_x
_atom_site_fract_y
_atom_site_fract_z
_atom_site_occupancy
Li1 Li 0.003 0.000 0.259 1
Li2 Li 0.094 0.500 0.156 1
Li3 Li 0.206 0.000 0.549 1
Cd1 Cd 0.182 0.000 0.049 1
Pb1 Pb 0.108 0.500 0.658 1
```

Computed properties:
The energy of formation comes out at -0.239 eV/atom. As for the magnetic moment: 0.00 μB per formula unit. The calculated density comes out at 5.67 g cm⁻³. As for the energy above the most stable polymorph in this dataset: 0.000 eV/atom.